No. 1
The following is a PBE calculation of a relaxed LiSc3Au2 crystal, from Alexandria.

It has space group Pmc2_1 (No. 26), with a = 4.6794 Å, b = 8.5015 Å, c = 6.1850 Å, α = 90.00°, β = 90.00° and γ = 90.00°. The inequivalent atoms are Li at (0.0000, 0.0509, 0.0000), Sc at (0.0000, 0.3156, 0.6490), Sc at (0.5000, 0.1678, 0.2964), Sc at (0.5000, 0.4541, 0.9572), Au at (0.0000, 0.3560, 0.2082) and Au at (0.5000, 0.1578, 0.7485).

For the formation enthalpy at 0 K, the calculation gives -0.567 eV/atom. Its crystal system is orthorhombic.

=====

No. 2
The following is a PBE calculation of a relaxed BeCuAu2C crystal, from Alexandria.

It has space group P4/mmm (No. 123), with a = 4.3209 Å, b = 4.3209 Å, c = 3.8079 Å, α = 90.00°, β = 90.00° and γ = 90.00°. The inequivalent atoms are Be at (0.0000, 0.0000, 0.0000), Cu at (0.5000, 0.5000, 0.0000), Au at (0.0000, 0.5000, 0.5000) and C at (0.5000, 0.5000, 0.5000).

For the formation enthalpy at 0 K, the calculation gives 0.807 eV/atom. Its crystal system is tetragonal.

=====

No. 3
The following is a PBE calculation of a relaxed Sc2NbZnC crystal, from Alexandria.

It has space group P4/mmm (No. 123), with a = 4.4380 Å, b = 4.4380 Å, c = 4.3585 Å, α = 90.00°, β = 90.00° and γ = 90.00°. The inequivalent atoms are Sc at (0.0000, 0.5000, 0.0000), Nb at (0.0000, 0.0000, 0.5000), Zn at (0.5000, 0.5000, 0.5000) and C at (0.0000, 0.0000, 0.0000).

For the formation enthalpy at 0 K, the calculation gives -0.339 eV/atom. Its crystal system is tetragonal.

=====

No. 4
The following is a PBE calculation of a relaxed KMnTl2Cl4 crystal, from Alexandria.

It has space group Fddd (No. 70, origin choice 2), with a = 7.0494 Å, b = 11.8960 Å, c = 27.6351 Å, α = 90.00°, β = 90.00° and γ = 90.00°. The inequivalent atoms are K at (0.1250, 0.1250, 0.1250), Mn at (0.1250, 0.1250, 0.6250), Tl at (0.1250, 0.1250, 0.2613) and Cl at (0.0612, 0.2717, 0.8199).

For the uncorrected formation energy, the calculation gives -0.970 eV/atom. Its crystal system is orthorhombic.

=====

No. 5
The following is a PBE calculation of a relaxed Ho2Ga3Ni4Ge crystal, from Alexandria.

It has space group P-4m2 (No. 115), with a = 4.0182 Å, b = 4.0182 Å, c = 10.0379 Å, α = 90.00°, β = 90.00° and γ = 90.00°. The inequivalent atoms are Ho at (0.0000, 0.5000, 0.2458), Ga at (0.0000, 0.0000, 0.0000), Ga at (0.0000, 0.5000, 0.6307), Ni at (0.0000, 0.0000, 0.5000), Ni at (0.0000, 0.5000, 0.8664), Ni at (0.5000, 0.5000, 0.5000) and Ge at (0.5000, 0.5000, 0.0000).

For the formation enthalpy at 0 K, the calculation gives -0.590 eV/atom. Its crystal system is tetragonal.

=====

No. 6
The following is a PBE calculation of a relaxed Cd3Cl5 crystal, from Alexandria.

It has space group P6_3/mcm (No. 193), with a = 7.6813 Å, b = 7.6813 Å, c = 7.8179 Å, α = 90.00°, β = 90.00° and γ = 120.00°. The inequivalent atoms are Cd at (0.0000, 0.4011, 0.2500), Cl at (0.0000, 0.2568, 0.7500) and Cl at (0.3333, 0.6667, 0.0000).

For the uncorrected formation energy, the calculation gives -0.775 eV/atom. Its crystal system is hexagonal. Its relative energy among the computed polymorphs is 0.0 meV/atom.

=====

No. 7
The following is a PBE calculation of a relaxed Zr2TiPd crystal, from Alexandria.

It has space group R3m (No. 160, hexagonal axes), with a = 3.1216 Å, b = 3.1216 Å, c = 27.9811 Å, α = 90.00°, β = 90.00° and γ = 120.00°. The inequivalent atoms are Zr at (0.0000, 0.0000, 0.0000), Zr at (0.0000, 0.0000, 0.1704), Ti at (0.0000, 0.0000, 0.4182) and Pd at (0.0000, 0.0000, 0.5861).

For the formation enthalpy at 0 K, the calculation gives -0.166 eV/atom. Its crystal system is trigonal.

=====

No. 8
The following is a PBE calculation of a relaxed FeCuS2Cl crystal, from Alexandria.

It has space group P4/mmm (No. 123), with a = 4.1280 Å, b = 4.1280 Å, c = 5.5725 Å, α = 90.00°, β = 90.00° and γ = 90.00°. The inequivalent atoms are Fe at (0.0000, 0.0000, 0.0000), Cu at (0.0000, 0.0000, 0.5000), S at (0.0000, 0.5000, 0.0000) and Cl at (0.5000, 0.5000, 0.5000).

For the uncorrected formation energy, the calculation gives 0.346 eV/atom. Its crystal system is tetragonal. Its relative energy among the computed polymorphs is 0.0 meV/atom.

=====

No. 9
The following is a PBE calculation of a relaxed CaNiAg2Pt crystal, from Alexandria.

It has space group P4/mmm (No. 123), with a = 5.0094 Å, b = 5.0094 Å, c = 4.4037 Å, α = 90.00°, β = 90.00° and γ = 90.00°. The inequivalent atoms are Ca at (0.0000, 0.0000, 0.0000), Ni at (0.0000, 0.0000, 0.5000), Ag at (0.0000, 0.5000, 0.0000) and Pt at (0.5000, 0.5000, 0.5000).

For the formation enthalpy at 0 K, the calculation gives 1.313 eV/atom. Its crystal system is tetragonal.

=====

No. 10
The following is a PBE calculation of a relaxed BiBr3N2 crystal, from Alexandria.

It has space group P-1 (No. 2), with a = 7.5607 Å, b = 7.7467 Å, c = 9.4761 Å, α = 102.37°, β = 101.49° and γ = 119.21°. The inequivalent atoms are Bi at (0.1674, 0.3352, 0.0000), Br at (0.1127, 0.6127, 0.2237), Br at (0.2409, 0.9993, 0.9986), Br at (0.3884, 0.3892, 0.7765), N at (0.0426, 0.7957, 0.5786) and N at (0.4635, 0.2168, 0.4210).

For the uncorrected formation energy, the calculation gives 1.276 eV/atom. Its crystal system is triclinic.

=====

No. 11
The following is a PBE calculation of a relaxed NbHRh3 crystal, from Alexandria.

It has space group Pm-3m (No. 221), with a = 4.7514 Å, b = 4.7514 Å, c = 4.7514 Å, α = 90.00°, β = 90.00° and γ = 90.00°. The inequivalent atoms are Nb at (0.0000, 0.0000, 0.0000), H at (0.5000, 0.5000, 0.5000) and Rh at (0.0000, 0.0000, 0.5000).

Its crystal system is cubic. Its relative energy among the computed polymorphs is 2017.1 meV/atom.

=====

No. 12
The following is a PBE calculation of a relaxed Y2IrI2 crystal, from Alexandria.

It has space group P4/mbm (No. 127), with a = 7.5437 Å, b = 7.5437 Å, c = 5.1432 Å, α = 90.00°, β = 90.00° and γ = 90.00°. The inequivalent atoms are Y at (0.1760, 0.3240, 0.0000), Ir at (0.0000, 0.0000, 0.0000) and I at (0.1613, 0.6613, 0.5000).

For the uncorrected formation energy, the calculation gives -0.425 eV/atom. Its crystal system is tetragonal. Its relative energy among the computed polymorphs is 640.8 meV/atom.